A:
Here is a PBEsol-optimized structure of TlCrMo from Alexandria via LeMat-Bulk. Energies are from SCAN.

Cell lengths 4.2630, 4.2630, 4.2630 Å; angles 60.00, 60.00, 60.00 degrees
Last column: nearest neighbours and their distance in Å.
Element x y z (fractional)
1 Cr 0.2500 0.2500 0.2500  4 Tl 2.61, 4 Mo 2.61
2 Tl 0.5000 0.5000 0.5000  4 Cr 2.61
3 Mo 0.0000 0.0000 0.0000  4 Cr 2.61

Calculated values
The calculation puts the density of states at the Fermi level at 4.1 states/eV/f.u. Its space group is F-43m (216).

---

B:
Here is a PBEsol-optimized structure of TlCrMo from Alexandria via LeMat-Bulk. Energies are from SCAN.

Cell lengths 2.8771, 4.4069, 4.4069 Å; angles 120.00, 90.00, 90.00 degrees
Last column: nearest neighbours and their distance in Å.
Element x y z (fractional)
1 Tl 0.2977 0.6667 0.3333  3 Cr 2.73, 6 Mo 2.86-2.99, 2 Tl 2.88
2 Cr 0.9533 0.0000 0.0000  3 Mo 2.61, 3 Tl 2.73, 2 Cr 2.88
3 Mo 0.7490 0.3333 0.6667  3 Cr 2.61, 3 Tl 2.86, 2 Mo 2.88

Calculated values
The calculation puts the density of states at the Fermi level at 2.5 states/eV/f.u. Its space group is P3m1 (156).

---

Stability summary - winner: B; margin: 19.6 kJ/mol of atoms.